VASP calculation (PBE) on crystalline Ce2DyYTe5 at its relaxed geometry.

Crystal system: tetragonal
ΔE_f (raw), eV per atom: -0.827

Cell and atoms, written as POSCAR:
```
Ce2DyYTe5
1.0
-1.9285 1.4299 -4.9825
-3.8397 -3.9654 0.3482
-7.2730 7.4781 4.9612
Y Te Dy Ce
1 5 1 2
Cartesian
0.0000 0.0000 0.0000
-1.7787 1.8289 1.2133
-2.8841 -1.2677 -2.3171
-5.5563 1.7564 2.6547
-4.6007 4.4540 -0.0106
-5.4943 5.6493 3.7479
-3.6365 3.7391 2.4806
-5.2169 1.1309 -0.7258
-7.8242 3.8117 1.0527
```